# 1
Density functional theory data (GGA-PBE) for crystalline LaPr4Tm4 at its relaxed geometry.

Results
Formation energy (meV per atom): 26
Total moment (μB/cell): 0.000

Geometry as CIF:
```
data_LaPr4Tm4
_cell_length_a 10.884
_cell_length_b 10.884
_cell_length_c 5.086
_cell_angle_alpha 90.00
_cell_angle_beta 90.00
_cell_angle_gamma 90.00
_space_group_name_H-M_alt 'I 4/m m m'
_space_group_IT_number 139
_space_group_name_Hall '-I 4 2'
loop_
_atom_site_label
_atom_site_fract_x
_atom_site_fract_y
_atom_site_fract_z
La1 0.000 0.000 0.000
Pr1 0.000 0.330 0.000
Tm1 0.167 0.167 0.500
```

# 2
Density functional theory data (GGA-PBE) for crystalline Pr2ErCd2 at its relaxed geometry.

Results
ΔE to the lowest computed polymorph (eV per atom): 0.0000
Formation energy (meV per atom): -237
Total moment (μB/cell): 0.251

Geometry as CIF:
```
data_Pr2ErCd2
_cell_length_a 3.770
_cell_length_b 5.402
_cell_length_c 14.445
_cell_angle_alpha 90.00
_cell_angle_beta 97.48
_cell_angle_gamma 90.00
_space_group_name_H-M_alt 'P 1 21/m 1'
_space_group_IT_number 11
loop_
_space_group_symop_operation_xyz
'x,y,z'
'-x,-y,-z'
'-x,y+1/2,-z'
'x,-y+1/2,z'
loop_
_atom_site_label
_atom_site_fract_x
_atom_site_fract_y
_atom_site_fract_z
Pr1 0.044 0.250 0.086
Pr2 0.233 0.250 0.468
Er1 0.150 0.750 0.299
Cd1 0.362 0.750 0.724
Cd2 0.440 0.250 0.882
```

# 3
Density functional theory data (GGA-PBE) for crystalline ReC at its relaxed geometry.

Results
ΔE to the lowest computed polymorph (eV per atom): 0.4585
Formation energy (meV per atom): 699
Total moment (μB/cell): 0.000

Geometry as CIF:
```
data_ReC
_cell_length_a 8.505
_cell_length_b 2.874
_cell_length_c 6.308
_cell_angle_alpha 90.00
_cell_angle_beta 90.00
_cell_angle_gamma 90.00
_space_group_name_H-M_alt 'P m n 21'
_space_group_IT_number 31
loop_
_space_group_symop_operation_xyz
'x,y,z'
'-x+1/2,-y,z+1/2'
'-x,y,z'
'x+1/2,-y,z+1/2'
loop_
_atom_site_label
_atom_site_fract_x
_atom_site_fract_y
_atom_site_fract_z
Re1 0.000 0.054 0.000
Re2 0.228 0.576 0.765
C1 0.000 0.554 0.754
C2 0.246 0.995 0.516
```

# 4
Density functional theory data (GGA-PBE) for crystalline Cs2LaYF6 at its relaxed geometry.

Results
E_form (uncorrected) (eV per atom): -3.0608
Total moment (μB/cell): 3.143

Geometry as CIF:
```
data_Cs2LaYF6
_cell_length_a 6.952
_cell_length_b 6.952
_cell_length_c 9.412
_cell_angle_alpha 90.00
_cell_angle_beta 90.00
_cell_angle_gamma 90.00
_space_group_name_H-M_alt 'I 4/m m m'
_space_group_IT_number 139
_space_group_name_Hall '-I 4 2'
loop_
_atom_site_label
_atom_site_fract_x
_atom_site_fract_y
_atom_site_fract_z
Cs1 0.000 0.500 0.250
La1 0.000 0.000 0.000
Y1 0.000 0.000 0.500
F1 0.000 0.000 0.262
F2 0.226 0.226 0.500
```

# 5
Density functional theory data (GGA-PBE) for crystalline KBeMo2 at its relaxed geometry.

Results
Formation energy (meV per atom): 1461
Total moment (μB/cell): 1.989

Geometry as CIF:
```
data_KBeMo2
_cell_length_a 6.506
_cell_length_b 6.506
_cell_length_c 6.506
_cell_angle_alpha 90.00
_cell_angle_beta 90.00
_cell_angle_gamma 90.00
_space_group_name_H-M_alt 'F -4 3 m'
_space_group_IT_number 216
_space_group_name_Hall 'F -4 2 3'
loop_
_atom_site_label
_atom_site_fract_x
_atom_site_fract_y
_atom_site_fract_z
K1 0.000 0.000 0.000
Be1 0.250 0.250 0.750
Mo1 0.000 0.000 0.500
Mo2 0.250 0.250 0.250
```

# 6
Density functional theory data (GGA-PBE) for crystalline Sr4LiSi at its relaxed geometry.

Results
E_form (uncorrected) (eV per atom): 0.6168
Total moment (μB/cell): 0.023

Geometry as CIF:
```
data_Sr4LiSi
_cell_length_a 10.187
_cell_length_b 10.187
_cell_length_c 10.187
_cell_angle_alpha 90.00
_cell_angle_beta 90.00
_cell_angle_gamma 90.00
_space_group_name_H-M_alt 'F -4 3 m'
_space_group_IT_number 216
_space_group_name_Hall 'F -4 2 3'
loop_
_atom_site_label
_atom_site_fract_x
_atom_site_fract_y
_atom_site_fract_z
Sr1 0.124 0.124 0.376
Li1 0.000 0.000 0.000
Si1 0.250 0.250 0.750
```